DFT (GGA-PBE) results for a geometry-optimized Pt2Pb3 structure.

abc: 4.7080 4.7080 6.5065
angles: 90.00 90.00 120.00
Atoms (fractional coordinates):
Pb  0.3333  0.6667  0.3375
Pt  0.3333  0.6667  0.7994
Pt  0.6667  0.3333  0.2006
Pb  0.6667  0.3333  0.6625
Pb  0.0000  0.0000  0.0000

Output
ΔH_f (0 K) in meV/atom: -118
Space group: No. 164
Crystal system: trigonal